## 1
Density functional theory data (PBE) for an optimized crystal structure of Pr8NdY2.

```
11
Lattice="5.541 0.000 -1.683 -1.027 7.601 -3.381 -0.111 -0.367 9.601" Properties=species:S:1:pos:R:3 pbc="T T T"
Nd 2.771 0.000 -0.841
Pr 5.130 1.862 6.928
Pr 1.351 4.045 4.449
Pr 3.053 3.189 0.089
Pr 1.770 0.947 5.827
Pr 3.701 6.110 2.222
Pr 0.703 1.125 2.316
Pr -0.726 5.373 -2.390
Pr 2.635 6.288 -1.289
Y 0.346 5.175 1.140
Y 4.058 2.059 3.398
```

Values from the calculation:
As for the total moment: 0.00 μB per formula unit.



## 2
Density functional theory data (PBE) for an optimized crystal structure of Pr8NdY2.

```
11
Lattice="-3.316 -0.374 5.110 2.660 -4.534 7.662 4.990 4.762 6.720" Properties=species:S:1:pos:R:3 pbc="T T T"
Nd -1.658 -0.187 2.555
Pr -1.249 0.386 6.536
Pr 1.989 1.784 11.874
Pr 2.501 -1.842 11.400
Pr -0.801 -2.876 8.011
Pr 2.345 -1.930 7.618
Pr 0.145 -2.032 4.761
Pr 1.833 1.696 8.092
Pr 5.583 -0.532 12.956
Y 4.932 -0.171 9.455
Y 2.718 0.399 4.927
```

Values from the calculation:
As for the total moment: 0.00 μB per formula unit.



Relative energies, unit meV/atom: 1 0; 2 25